Below is crystalline NiAsN2F at its relaxed geometry, with properties calculated at the GGA+U level.

```
5
Lattice="3.786 0.000 0.000 0.000 3.786 0.000 0.000 0.000 3.897" Properties=species:S:1:pos:R:3 pbc="T T T"
Ni 0.000 0.000 0.000
As 1.893 1.893 1.948
N 0.000 1.893 1.948
N 1.893 0.000 1.948
F 1.893 1.893 0.000
```

Output
The value obtained for the total magnetic moment is 1.9 μB/cell. As for the theoretical density: 5.4 g/cm³. The value obtained for the distance to the lowest polymorph of the same formula is 0.00 eV per formula unit.